No. 1
DFT (PBE-GGA) results for an optimized crystal structure of MgZn2Pd7.

Density of states at the Fermi level (states/eV per atom): 0.868
Magnetization (μB/f.u.): 0.00
Raw total energy (Ry per atom): -0.2948
Formation energy (eV per atom): 0.038

Unit cell a=4.287 b=7.232 c=7.232 alpha=119.92 beta=90.00 gamma=90.00
Fractional positions:
Pd 0.000 0.796 0.204
Pd 0.500 0.299 0.074
Pd 0.000 0.204 0.796
Pd 0.500 0.074 0.299
Pd 0.500 0.926 0.701
Pd 0.500 0.500 0.500
Pd 0.500 0.701 0.926
Mg 0.000 0.000 0.000
Zn 0.500 0.700 0.300
Zn 0.500 0.300 0.700

=====

No. 2
DFT (PBE-GGA) results for an optimized crystal structure of Nd6RuPt.

Density of states at the Fermi level (states/eV per atom): 0.973
Magnetization (μB/f.u.): 0.00
Raw total energy (Ry per atom): -0.4258
Formation energy (eV per atom): -0.302

Unit cell a=6.843 b=6.840 c=7.753 alpha=63.76 beta=63.75 gamma=59.95
Fractional positions:
Nd 0.754 0.072 0.756
Nd 0.419 0.753 0.756
Nd 0.072 0.419 0.756
Nd 0.928 0.581 0.244
Nd 0.581 0.247 0.244
Nd 0.246 0.928 0.244
Ru 0.000 0.000 0.000
Pt 0.500 0.500 0.500

=====

Q: The highest raw total energy belongs to which entry?
A: MgZn2Pd7

=====

Please write out number 2 again, unchanged.
DFT (PBE-GGA) results for an optimized crystal structure of Nd6RuPt.

Density of states at the Fermi level (states/eV per atom): 0.973
Magnetization (μB/f.u.): 0.00
Raw total energy (Ry per atom): -0.4258
Formation energy (eV per atom): -0.302

Unit cell a=6.843 b=6.840 c=7.753 alpha=63.76 beta=63.75 gamma=59.95
Fractional positions:
Nd 0.754 0.072 0.756
Nd 0.419 0.753 0.756
Nd 0.072 0.419 0.756
Nd 0.928 0.581 0.244
Nd 0.581 0.247 0.244
Nd 0.246 0.928 0.244
Ru 0.000 0.000 0.000
Pt 0.500 0.500 0.500